First-principles (PBE) data for LaAl4Co after structural relaxation, as listed in OQMD.

Cell lengths 7.693, 4.064, 6.993 Å; angles 90.00, 90.00, 90.00 degrees
Atoms (fractional coordinates):
La (0.250, 0.000, 0.114)
La (0.750, 0.000, 0.886)
Al (0.000, 0.000, 0.500)
Al (0.071, 0.500, 0.793)
Al (0.250, 0.500, 0.457)
Al (0.429, 0.500, 0.793)
Al (0.500, 0.000, 0.500)
Al (0.571, 0.500, 0.207)
Al (0.750, 0.500, 0.543)
Al (0.929, 0.500, 0.207)
Co (0.250, 0.000, 0.683)
Co (0.750, 0.000, 0.317)

## Properties
E (eV per atom): -5.02
Space-group type: No. 51
Density (g/cm³): 4.64
Magnetization (μB per formula unit): 0.00